The following is a DFT calculation (GGA-PBE) of an optimized crystal structure of BiP2Pd2.

* ΔH_f (0 K): -3.819 kcal/mol of atoms
* relative energy among the computed polymorphs: 0 meV/atom
* Fermi-level density of states: 0.475 states/eV per atom

Cell lengths 5.710, 5.710, 5.710 Å; angles 135.74, 135.74, 64.38 degrees
Fractional positions:
Bi 0.000 0.000 0.000
P 0.385 0.385 0.000
P 0.615 0.615 0.000
Pd 0.250 0.750 0.500
Pd 0.750 0.250 0.500

***

The following is a DFT calculation (GGA-PBE) of an optimized crystal structure of SrSb2Ir.

* Fermi-level density of states: 0.535 states/eV per atom
* raw formation energy: -33 meV/atom

Cell lengths 5.120, 5.120, 5.120 Å; angles 60.00, 60.00, 60.00 degrees
Fractional positions:
Sr 0.000 0.000 0.000
Sb 0.250 0.250 0.250
Sb 0.750 0.750 0.750
Ir 0.500 0.500 0.500

***

The following is a DFT calculation (GGA-PBE) of an optimized crystal structure of TlSeCl2.

* relative energy among the computed polymorphs: 356 meV/atom
* Fermi-level density of states: 0.760 states/eV per atom
* raw formation energy: -32 meV/atom

Cell lengths 5.388, 5.388, 3.439 Å; angles 90.00, 90.00, 90.25 degrees
Fractional positions:
Tl 0.000 0.000 0.000
Se 0.500 0.500 0.000
Cl 0.000 0.500 0.500
Cl 0.500 0.000 0.500

***

Number 1: VASP energy -5.183 eV/atom. Number 2: VASP energy -4.730 eV/atom. Number 3: VASP energy -2.418 eV/atom.